No. 1
The following is a DFT calculation (PBE) of a relaxed ZrTc2Ni crystal.

a b c (Å): 6.267 6.267 6.267
angles (deg): 90.00 90.00 90.00
Space group F-43m (No. 216)
One atom of each set of equivalent atoms:
Zr: 0.000 0.000 0.000 x4
Tc: 0.000 0.000 0.500 x4
Tc: 0.250 0.250 0.250 x4
Ni: 0.250 0.250 0.750 x4

Properties
magnetic moment	0.05	μB per cell
energy	-0.323	Ha/atom
formation energy from the elements	-26	kJ/mol of formula units

***

No. 2
The following is a DFT calculation (PBE) of a relaxed Zr3Tc2Ni crystal.

a b c (Å): 3.303 3.303 9.643
angles (deg): 90.00 90.00 90.00
Space group P4/mmm (No. 123)
One atom of each set of equivalent atoms:
Zr: 0.000 0.000 0.000 x1
Zr: 0.000 0.000 0.334 x2
Tc: 0.500 0.500 0.175 x2
Ni: 0.500 0.500 0.500 x1

Properties
magnetic moment	0.01	μB per cell
energy	-0.333	Ha/atom
formation energy from the elements	-240	kJ/mol of formula units

***

No. 3
The following is a DFT calculation (PBE) of a relaxed ZrTc2Ni crystal.

a b c (Å): 6.255 6.255 6.255
angles (deg): 90.00 90.00 90.00
Space group F-43m (No. 216)
One atom of each set of equivalent atoms:
Zr: 0.000 0.000 0.000 x4
Tc: 0.000 0.000 0.500 x4
Tc: 0.250 0.250 0.750 x4
Ni: 0.250 0.250 0.250 x4

Properties
magnetic moment	0.03	μB per cell
energy	-0.322	Ha/atom
formation energy from the elements	-26	kJ/mol of formula units

***

No. 4
The following is a DFT calculation (PBE) of a relaxed Ni11Te2 crystal.

a b c (Å): 7.900 3.380 23.548
angles (deg): 90.00 98.91 90.00
Space group C2/m (No. 12)
One atom of each set of equivalent atoms:
Ni: 0.000 0.000 0.000 x2
Ni: 0.053 0.000 0.899 x4
Ni: 0.073 0.500 0.174 x4
Ni: 0.132 0.500 0.069 x4
Ni: 0.185 0.500 0.966 x4
Ni: 0.239 0.500 0.862 x4
Te: 0.111 0.000 0.783 x4

Properties
magnetic moment	8.68	μB per cell
energy	-0.192	Ha/atom

***

No. 5
The following is a DFT calculation (PBE) of a relaxed Ni17Te crystal.

a b c (Å): 4.253 4.924 30.859
angles (deg): 90.00 90.18 90.00
Space group P2_1/m (No. 11)
One atom of each set of equivalent atoms:
Ni: 0.000 0.000 0.000 x2
Ni: 0.002 0.001 0.196 x4
Ni: 0.166 0.250 0.065 x2
Ni: 0.166 0.750 0.262 x2
Ni: 0.166 0.750 0.869 x2
Ni: 0.167 0.750 0.065 x2
Ni: 0.168 0.250 0.869 x2
Ni: 0.333 0.000 0.131 x4
Ni: 0.334 0.000 0.935 x4
Ni: 0.334 0.501 0.738 x4
Ni: 0.499 0.750 0.804 x2
Ni: 0.500 0.250 0.000 x2
Ni: 0.500 0.250 0.803 x2
Te: 0.166 0.250 0.292 x2

Properties
magnetic moment	19.39	μB per cell
energy	-0.198	Ha/atom

***

No. 6
The following is a DFT calculation (PBE) of a relaxed Ni17Te crystal.

a b c (Å): 4.9212 4.9212 31.1487
angles (deg): 90.00 90.00 120.00
Space group P-3m1 (No. 164)
One atom of each set of equivalent atoms:
Ni: 0.0000 0.0000 0.0000 x1
Ni: 0.0000 0.0000 0.1942 x2
Ni: 0.0000 0.5000 0.0000 x3
Ni: 0.0017 0.5008 0.1947 x6
Ni: 0.1660 0.3320 0.7409 x6
Ni: 0.1668 0.3336 0.1296 x6
Ni: 0.1668 0.3335 0.9352 x6
Ni: 0.3333 0.6667 0.0648 x2
Ni: 0.3333 0.6667 0.8701 x2
Te: 0.3333 0.6667 0.2879 x2

Properties
magnetic moment	19.52	μB per cell
energy	-0.198	Ha/atom

***

No. 7
The following is a DFT calculation (PBE) of a relaxed NiTe crystal.

a b c (Å): 6.883 6.883 7.174
angles (deg): 90.00 90.00 90.00
Space group P4_2/m (No. 84)
One atom of each set of equivalent atoms:
Ni: 0.000 0.000 0.250 x2
Ni: 0.000 0.500 0.000 x2
Ni: 0.283 0.529 0.500 x4
Te: 0.193 0.312 0.230 x8

Properties
magnetic moment	0.00	μB per cell
energy	-0.161	Ha/atom

***

No. 8
The following is a DFT calculation (PBE) of a relaxed Ni7Te2 crystal.

a b c (Å): 2.9402 2.9402 28.0278
angles (deg): 90.00 90.00 120.00
Space group P-3m1 (No. 164)
One atom of each set of equivalent atoms:
Ni: 0.0000 0.0000 0.0000 x1
Ni: 0.0000 0.0000 0.1927 x2
Ni: 0.3333 0.6667 0.1279 x2
Ni: 0.3333 0.6667 0.9357 x2
Te: 0.3333 0.6667 0.7384 x2

Properties
magnetic moment	3.24	μB per cell
energy	-0.168	Ha/atom

***

No. 9
The following is a DFT calculation (PBE) of a relaxed Ni8Te crystal.

a b c (Å): 7.767 3.566 28.179
angles (deg): 90.00 90.22 90.00
Space group C2/m (No. 12)
One atom of each set of equivalent atoms:
Ni: 0.049 0.000 0.404 x4
Ni: 0.050 0.500 0.541 x4
Ni: 0.053 0.000 0.680 x4
Ni: 0.149 0.500 0.349 x4
Ni: 0.150 0.000 0.486 x4
Ni: 0.152 0.500 0.624 x4
Ni: 0.249 0.500 0.709 x4
Ni: 0.250 0.000 0.569 x4
Te: 0.054 0.500 0.258 x4

Properties
magnetic moment	15.28	μB per cell
energy	-0.196	Ha/atom

***

No. 10
The following is a DFT calculation (PBE) of a relaxed Ni7Te crystal.

a b c (Å): 2.738 3.382 33.251
angles (deg): 90.00 90.00 90.00
Space group Pmm2 (No. 25)
One atom of each set of equivalent atoms:
Ni: 0.000 0.000 0.000 x1
Ni: 0.000 0.000 0.072 x1
Ni: 0.000 0.000 0.146 x1
Ni: 0.000 0.000 0.219 x1
Ni: 0.000 0.000 0.293 x1
Ni: 0.000 0.000 0.366 x1
Ni: 0.000 0.000 0.441 x1
Ni: 0.500 0.500 0.036 x1
Ni: 0.500 0.500 0.110 x1
Ni: 0.500 0.500 0.183 x1
Ni: 0.500 0.500 0.256 x1
Ni: 0.500 0.500 0.329 x1
Ni: 0.500 0.500 0.402 x1
Ni: 0.500 0.500 0.961 x1
Te: 0.000 0.000 0.918 x1
Te: 0.500 0.500 0.484 x1

Properties
magnetic moment	4.27	μB per cell
energy	-0.190	Ha/atom
offset from the most stable computed form	0	meV per atom